A plane-wave DFT calculation with PBE was carried out for Ho2InPt9 after structural relaxation.

The space group is P4/mmm (No. 123) and the conventional cell measures 4.094, 4.094 and 12.247 Å, with angles of 90.00, 90.00 and 90.00 degrees. Symmetry generates all atoms from Ho at (0.000, 0.000, 0.168), In at (0.000, 0.000, 0.500), Pt at (0.000, 0.500, 0.000), Pt at (0.000, 0.500, 0.337), Pt at (0.500, 0.500, 0.169) and Pt at (0.500, 0.500, 0.500).

The calculation puts the formation enthalpy at 0 K at -0.82 eV/atom. Its total DFT energy (no corrections) is -6.35 eV/atom.